1.
First-principles (GGA-PBE) data for Tm2LuIr after structural relaxation, as listed in Alexandria.

a = 3.7644 Å, b = 3.7644 Å, c = 27.7278 Å
α = 90.00°, β = 90.00°, γ = 120.00°
Last column: nearest neighbours and their distance in Å.
Space group R-3m (No. 166, hexagonal axes)
Symmetry-distinct sites (fractional):
Tm: 0.0000 0.0000 0.2258  3 Ir 2.72
Lu: 0.0000 0.0000 0.0000  6 Tm 3.69, 6 Lu 3.76
Ir: 0.0000 0.0000 0.5000  6 Tm 2.72

Computed properties:
- total magnetic moment (μB/atom) = 0.197
- energy above the lowest structure with this stoichiometry (eV per formula unit) = 0.530
- E (eV per atom) = -5.882
- Fermi-level density of states (states/eV per atom) = 1.152
- energy of formation (meV/atom) = -300


2.
First-principles (GGA-PBE) data for TmLu2Ir after structural relaxation, as listed in Alexandria.

a = 3.3633 Å, b = 3.3633 Å, c = 8.8759 Å
α = 90.00°, β = 90.00°, γ = 90.00°
Last column: nearest neighbours and their distance in Å.
Space group P4/mmm (No. 123)
Symmetry-distinct sites (fractional):
Tm: 0.0000 0.0000 0.0000  4 Tm 3.36, 8 Lu 3.67
Lu: 0.5000 0.5000 0.3143  4 Ir 2.89
Ir: 0.0000 0.0000 0.5000  8 Lu 2.89

Computed properties:
- total magnetic moment (μB/atom) = 0.000
- energy above the lowest structure with this stoichiometry (eV per formula unit) = 0.000
- E (eV per atom) = -6.064
- Fermi-level density of states (states/eV per atom) = 1.151
- energy of formation (meV/atom) = -470


3.
First-principles (GGA-PBE) data for Tm2LuIr after structural relaxation, as listed in Alexandria.

a = 3.4604 Å, b = 3.4604 Å, c = 8.4558 Å
α = 90.00°, β = 90.00°, γ = 90.00°
Last column: nearest neighbours and their distance in Å.
Space group P4/mmm (No. 123)
Symmetry-distinct sites (fractional):
Tm: 0.0000 0.0000 0.1881  4 Ir 2.92, 1 Tm 3.18
Lu: 0.5000 0.5000 0.5000  4 Lu 3.46, 8 Tm 3.60
Ir: 0.5000 0.5000 0.0000  8 Tm 2.92

Computed properties:
- total magnetic moment (μB/atom) = 0.000
- energy above the lowest structure with this stoichiometry (eV per formula unit) = 0.000
- E (eV per atom) = -6.014
- Fermi-level density of states (states/eV per atom) = 1.335
- energy of formation (meV/atom) = -433


4.
First-principles (GGA-PBE) data for TmLuZnIr after structural relaxation, as listed in Alexandria.

a = 6.8427 Å, b = 6.8427 Å, c = 6.8427 Å
α = 90.00°, β = 90.00°, γ = 90.00°
Last column: nearest neighbours and their distance in Å.
Space group F-43m (No. 216)
Symmetry-distinct sites (fractional):
Tm: 0.0000 0.0000 0.0000  4 Ir 2.96, 4 Zn 2.96
Lu: 0.0000 0.0000 0.5000  4 Ir 2.96, 4 Zn 2.96
Zn: 0.2500 0.2500 0.2500  4 Tm 2.96, 4 Lu 2.96
Ir: 0.2500 0.2500 0.7500  4 Tm 2.96, 4 Lu 2.96

Computed properties:
- total magnetic moment (μB/atom) = 0.000
- E (eV per atom) = -5.478
- Fermi-level density of states (states/eV per atom) = 0.594
- energy of formation (meV/atom) = -696


5.
First-principles (GGA-PBE) data for LuUIr2 after structural relaxation, as listed in Alexandria.

a = 3.8379 Å, b = 3.8379 Å, c = 20.2599 Å
α = 90.00°, β = 90.00°, γ = 120.00°
Last column: nearest neighbours and their distance in Å.
Space group R-3m (No. 166, hexagonal axes)
Symmetry-distinct sites (fractional):
Lu: 0.0000 0.0000 0.0000  6 Ir 2.86
U: 0.0000 0.0000 0.5000  6 Ir 2.71
Ir: 0.0000 0.0000 0.2441  3 U 2.71, 3 Lu 2.86

Computed properties:
- total magnetic moment (μB/atom) = 0.019
- energy above the lowest structure with this stoichiometry (eV per formula unit) = 0.222
- E (eV per atom) = -9.005
- Fermi-level density of states (states/eV per atom) = 0.989
- energy of formation (meV/atom) = -623


6.
First-principles (GGA-PBE) data for LuUIr4 after structural relaxation, as listed in Alexandria.

a = 7.5327 Å, b = 7.5327 Å, c = 7.5327 Å
α = 90.00°, β = 90.00°, γ = 90.00°
Last column: nearest neighbours and their distance in Å.
Space group F-43m (No. 216)
Symmetry-distinct sites (fractional):
Lu: 0.0000 0.0000 0.0000  12 Ir 3.12, 4 U 3.26
U: 0.2500 0.2500 0.2500  12 Ir 3.12, 4 Lu 3.26
Ir: 0.1254 0.1254 0.6254  6 Ir 2.65-2.67

Computed properties:
- total magnetic moment (μB/atom) = 0.332
- E (eV per atom) = -9.212
- Fermi-level density of states (states/eV per atom) = 1.355
- energy of formation (meV/atom) = -670


7.
First-principles (GGA-PBE) data for LuUIr2 after structural relaxation, as listed in Alexandria.

a = 3.3480 Å, b = 3.3480 Å, c = 6.9833 Å
α = 90.00°, β = 90.00°, γ = 90.00°
Last column: nearest neighbours and their distance in Å.
Space group P4/mmm (No. 123)
Symmetry-distinct sites (fractional):
Lu: 0.0000 0.0000 0.0000  8 Ir 2.96
U: 0.0000 0.0000 0.5000  8 Ir 2.93
Ir: 0.5000 0.5000 0.2539  4 U 2.93, 4 Lu 2.96

Computed properties:
- total magnetic moment (μB/atom) = 0.408
- energy above the lowest structure with this stoichiometry (eV per formula unit) = 0.000
- E (eV per atom) = -9.061
- Fermi-level density of states (states/eV per atom) = 0.825
- energy of formation (meV/atom) = -678


8.
First-principles (GGA-PBE) data for LuUIr2 after structural relaxation, as listed in Alexandria.

a = 6.8015 Å, b = 6.8015 Å, c = 6.8015 Å
α = 90.00°, β = 90.00°, γ = 90.00°
Last column: nearest neighbours and their distance in Å.
Space group Fm-3m (No. 225)
Symmetry-distinct sites (fractional):
Lu: 0.0000 0.0000 0.0000  8 Ir 2.95
U: 0.0000 0.0000 0.5000  8 Ir 2.95
Ir: 0.2500 0.2500 0.2500  4 Lu 2.95, 4 U 2.95

Computed properties:
- total magnetic moment (μB/atom) = 0.543
- energy above the lowest structure with this stoichiometry (eV per formula unit) = 0.163
- E (eV per atom) = -9.020
- Fermi-level density of states (states/eV per atom) = 1.461
- energy of formation (meV/atom) = -637


9.
First-principles (GGA-PBE) data for YLuIr2 after structural relaxation, as listed in Alexandria.

a = 6.7909 Å, b = 6.7909 Å, c = 6.7909 Å
α = 90.00°, β = 90.00°, γ = 90.00°
Last column: nearest neighbours and their distance in Å.
Space group Fm-3m (No. 225)
Symmetry-distinct sites (fractional):
Y: 0.0000 0.0000 0.0000  8 Ir 2.94
Lu: 0.0000 0.0000 0.5000  8 Ir 2.94
Ir: 0.2500 0.2500 0.2500  4 Y 2.94, 4 Lu 2.94

Computed properties:
- total magnetic moment (μB/atom) = 0.000
- energy above the lowest structure with this stoichiometry (eV per formula unit) = 0.038
- E (eV per atom) = -8.037
- Fermi-level density of states (states/eV per atom) = 0.680
- energy of formation (meV/atom) = -860


10.
First-principles (GGA-PBE) data for Y2LuIr after structural relaxation, as listed in Alexandria.

a = 3.5094 Å, b = 3.5094 Å, c = 8.5730 Å
α = 90.00°, β = 90.00°, γ = 90.00°
Last column: nearest neighbours and their distance in Å.
Space group P4/mmm (No. 123)
Symmetry-distinct sites (fractional):
Y: 0.0000 0.0000 0.1892  4 Ir 2.96, 1 Y 3.24
Lu: 0.5000 0.5000 0.5000  4 Lu 3.51, 8 Y 3.64
Ir: 0.5000 0.5000 0.0000  8 Y 2.96

Computed properties:
- total magnetic moment (μB/atom) = 0.118
- E (eV per atom) = -6.934
- Fermi-level density of states (states/eV per atom) = 1.354
- energy of formation (meV/atom) = -357


11.
First-principles (GGA-PBE) data for YLuIr2 after structural relaxation, as listed in Alexandria.

a = 3.3038 Å, b = 3.3038 Å, c = 7.1443 Å
α = 90.00°, β = 90.00°, γ = 90.00°
Last column: nearest neighbours and their distance in Å.
Space group P4/mmm (No. 123)
Symmetry-distinct sites (fractional):
Y: 0.0000 0.0000 0.0000  8 Ir 2.98, 4 Y 3.30
Lu: 0.0000 0.0000 0.5000  8 Ir 2.90
Ir: 0.5000 0.5000 0.2589  4 Lu 2.90, 4 Y 2.98

Computed properties:
- total magnetic moment (μB/atom) = 0.000
- energy above the lowest structure with this stoichiometry (eV per formula unit) = 0.000
- E (eV per atom) = -8.046
- Fermi-level density of states (states/eV per atom) = 0.173
- energy of formation (meV/atom) = -869


12.
First-principles (GGA-PBE) data for LuZnIr2 after structural relaxation, as listed in Alexandria.

a = 4.1808 Å, b = 4.1808 Å, c = 3.7259 Å
α = 90.00°, β = 90.00°, γ = 90.00°
Last column: nearest neighbours and their distance in Å.
Space group P4/mmm (No. 123)
Symmetry-distinct sites (fractional):
Lu: 0.0000 0.0000 0.0000  8 Ir 2.80, 4 Zn 2.96
Zn: 0.5000 0.5000 0.0000  8 Ir 2.80, 4 Lu 2.96
Ir: 0.0000 0.5000 0.5000  4 Zn 2.80, 4 Lu 2.80, 4 Ir 2.96

Computed properties:
- total magnetic moment (μB/atom) = 0.000
- E (eV per atom) = -6.451
- Fermi-level density of states (states/eV per atom) = 0.647
- energy of formation (meV/atom) = -571


- What is the formula in the second record?
  TmLu2Ir